[1]
LiAsPdRh: optimized geometry, GGA-PBE.

Cell lengths 4.2671, 4.2671, 4.2671 Å; angles 60.00, 60.00, 60.00 degrees
Positions (direct):
As  0.5000  0.5000  0.5000
Rh  0.7500  0.7500  0.7500
Pd  0.2500  0.2500  0.2500
Li  0.0000  0.0000  0.0000

energy = -5.25 eV/atom
crystal system = cubic
space-group type = F-43m, No. 216

=====

[2]
ReHO3: optimized geometry, GGA-PBE.

Cell lengths 3.7769, 3.7769, 3.7769 Å; angles 90.00, 90.00, 90.00 degrees
Positions (direct):
Re  0.0000  0.0000  0.0000
O  0.0000  0.5000  0.0000
O  0.0000  0.0000  0.5000
O  0.5000  0.0000  0.0000
H  0.5000  0.5000  0.5000

energy = -6.93 eV/atom
crystal system = cubic
space-group type = Pm-3m, No. 221

=====

[3]
Li4RhO3: optimized geometry, GGA-PBE.

Cell lengths 5.0157, 5.7022, 6.9841 Å; angles 108.02, 90.00, 116.09 degrees
Positions (direct):
Rh  0.6070  0.9728  0.7441
Rh  0.3658  0.9728  0.2441
O  0.6713  0.3568  0.8658
O  0.6855  0.3568  0.3658
O  0.2944  0.5780  0.5971
O  0.2836  0.5780  0.0971
O  0.9187  0.8681  0.7889
O  0.9494  0.8681  0.2889
Li  0.2643  0.2176  0.9539
Li  0.9533  0.2176  0.4539
Li  0.5757  0.4407  0.6365
Li  0.8650  0.4407  0.1365
Li  0.1079  0.6068  0.8484
Li  0.4990  0.6068  0.3484
Li  0.0296  0.7389  0.5152
Li  0.7093  0.7389  0.0152

energy = -5.10 eV/atom
crystal system = monoclinic
space-group type = Cc, No. 9
energy relative to the elements, uncorrected = -131.9 kJ per mole of atoms

=====

[4]
LaMg2Al9: optimized geometry, GGA-PBE.

Cell lengths 5.5460, 5.5460, 9.3523 Å; angles 72.75, 72.75, 60.00 degrees
Positions (direct):
La  0.0000  0.0000  0.0000
Mg  0.8561  0.8561  0.4317
Mg  0.1439  0.1439  0.5683
Al  0.6653  0.6653  0.0042
Al  0.3347  0.3347  0.9958
Al  0.5000  0.5000  0.5000
Al  0.4127  0.4127  0.2538
Al  0.9208  0.4127  0.2538
Al  0.4127  0.9208  0.2538
Al  0.5873  0.5873  0.7462
Al  0.5873  0.0792  0.7462
Al  0.0792  0.5873  0.7462

energy = -3.62 eV/atom
crystal system = trigonal
space-group type = R-3m, No. 166

=====

[5]
Tb5Y4Th: optimized geometry, GGA-PBE.

Cell lengths 6.1470, 8.0004, 8.0004 Å; angles 81.51, 67.41, 67.41 degrees
Positions (direct):
Tb  0.7621  0.3750  0.9997
Tb  0.1371  0.9997  0.6250
Tb  0.7618  0.0003  0.3750
Tb  0.1368  0.6250  0.0003
Tb  0.6923  0.0000  0.0000
Y  0.4491  0.3196  0.6807
Y  0.7687  0.6807  0.6804
Y  0.1298  0.3193  0.3196
Y  0.4494  0.6804  0.3193
Th  0.2232  0.0000  0.0000

energy = -5.36 eV/atom
crystal system = tetragonal
space-group type = I4mm, No. 107